Below is an optimized crystal structure of LiRe2Pb, with properties calculated at the PBE-GGA level.

Cell and atoms, written as POSCAR:
```
LiRe2Pb
1.0
-0.691 -2.618 0.056
2.589 -0.692 -0.390
1.427 -0.168 9.765
Pb Re Li
1 2 1
Direct
0.500 0.500 0.750
0.000 0.000 0.029
0.000 0.000 0.471
0.500 0.500 0.250
```

total DFT energy (no corrections)	-0.237	Ha/atom
formation energy from the elements	1.18	eV/atom